No. 1
Crystalline Be2V2Br at its relaxed geometry, computed with PBE-GGA.

Unit cell a=2.970 b=2.970 c=7.724 alpha=78.92 beta=78.92 gamma=90.00
Element x y z (fractional)
Br 0.000 0.000 0.000
V 0.614 0.614 0.772
V 0.386 0.386 0.228
Be 0.750 0.250 0.500
Be 0.250 0.750 0.500

Properties
magnetic moment: 0.000 μB per atom
raw formation energy: 0.57 eV/atom
energy above the most stable polymorph in this dataset: 106 meV per atom
SG: I4/mmm

=====

No. 2
Crystalline BeV3Br at its relaxed geometry, computed with PBE-GGA.

Unit cell a=4.249 b=4.249 c=4.249 alpha=90.00 beta=90.00 gamma=90.00
Site moments in Bohr magnetons follow the coordinates.
Element x y z (fractional)
V 0.000 0.000 0.500  0.63
V 0.000 0.500 0.000  0.63
V 0.500 0.000 0.000  0.63
Be 0.000 0.000 0.000  0.01
Br 0.500 0.500 0.500  0.01

Properties
magnetic moment: 0.456 μB per atom
raw formation energy: 0.99 eV/atom
energy above the most stable polymorph in this dataset: 0 meV per atom
SG: Pm-3m